Density functional theory data (PBE) for a geometry-optimized LiSc2Hg8 structure.

The structure belongs to space group C2/m (No. 12); the cell edges are 16.127, 4.867 and 6.855 Å and the angles 90.00°, 114.99° and 90.00°. The distinct sites, in fractional coordinates, are Li at (0.000, 0.000, 0.000), Sc at (0.192, 0.500, 0.691), Hg at (0.001, 0.500, 0.716), Hg at (0.139, 0.000, 0.413), Hg at (0.141, 0.000, 0.868) and Hg at (0.169, 0.500, 0.171).

The density of states at the Fermi level is 12.4 states/eV per cell. The calculation puts the electronic total energy at -1.7440 eV per atom. The calculation puts the formation energy at -0.199 eV per atom. The value obtained for the total magnetic moment is 0.00 μB/f.u. The crystal system is monoclinic.

Density functional theory data (PBE) for a geometry-optimized Hf3Sn structure.

The structure belongs to space group Pm-3m (No. 221); the cell edges are 4.427, 4.427 and 4.427 Å and the angles 90.00°, 90.00° and 90.00°. The distinct sites, in fractional coordinates, are Hf at (0.000, 0.000, 0.500) and Sn at (0.500, 0.500, 0.500).

The density of states at the Fermi level is 3.8 states/eV per cell. The calculation puts the electronic total energy at -8.7107 eV per atom. The calculation puts the formation energy at -0.245 eV per atom. The value obtained for the total magnetic moment is 0.00 μB/f.u. The crystal system is cubic.